Here is a relaxed CsKCe2Br8 crystal from Alexandria via LeMat-Bulk. Energies are from PBE-GGA.

a = 7.992 Å, b = 7.992 Å, c = 9.001 Å
α = 90.00°, β = 90.00°, γ = 120.00°
Atoms (fractional coordinates):
Cs 0.000 0.000 0.000
K 0.000 0.000 0.500
Ce 0.333 0.667 0.415
Ce 0.667 0.333 0.585
Br 0.059 0.384 0.653
Br 0.324 0.941 0.653
Br 0.333 0.667 0.104
Br 0.384 0.324 0.347
Br 0.616 0.676 0.653
Br 0.667 0.333 0.896
Br 0.676 0.059 0.347
Br 0.941 0.616 0.347

## Properties
- ΔE_f (raw) (kJ/mol of formula units) = -2037
- space-group type = P-3
- E_tot (Ry/atom) = -0.29593
- total magnetization (Bohr magnetons per cell) = 2.00

***

Here is a relaxed TiGa2Sn4 crystal from Alexandria via LeMat-Bulk. Energies are from PBE-GGA.

a = 7.990 Å, b = 7.990 Å, c = 7.990 Å
α = 140.97°, β = 140.97°, γ = 56.39°
Atoms (fractional coordinates):
Ti 0.000 0.000 0.000
Ga 0.390 0.390 0.000
Ga 0.610 0.610 0.000
Sn 0.000 0.500 0.500
Sn 0.192 0.192 0.000
Sn 0.500 0.000 0.500
Sn 0.808 0.808 0.000

## Properties
- space-group type = I4/mmm
- energy relative to the elements (eV per atom) = 0.25
- E_tot (Ry/atom) = -0.29597
- total magnetization (Bohr magnetons per cell) = 0.00

***

Here is a relaxed TlBiMoSe2 crystal from Alexandria via LeMat-Bulk. Energies are from PBE-GGA.

a = 4.862 Å, b = 4.862 Å, c = 5.758 Å
α = 90.00°, β = 90.00°, γ = 90.00°
Atoms (fractional coordinates):
Tl 0.000 0.000 0.000
Bi 0.500 0.500 0.000
Mo 0.000 0.000 0.500
Se 0.000 0.500 0.500
Se 0.500 0.000 0.500

## Properties
- ΔE_f (raw) (kJ/mol of formula units) = 158
- space-group type = P4/mmm
- E_tot (Ry/atom) = -0.32938
- total magnetization (Bohr magnetons per cell) = 0.49

***

Q: Among the records above, which one has the highest total magnetization?
A: CsKCe2Br8